Entry from Alexandria: a relaxed Er8TcPd2 crystal (PBE).

* energy of formation from the pure elements: -0.2858 eV/atom
* DOS(E_F): 10.3 states/eV per cell
* relative energy among the computed polymorphs: 7.7 kJ/mol of atoms
* magnetic moment: 0.0 μB per formula unit
* E_tot: -60.40 eV per formula unit

Cell: 7.7143 7.7143 5.7218 Å, 100.53 100.53 115.88°
Last column: nearest neighbours and their distance in Å.
Fractional coordinates of all 11 atoms:
Er  0.0000  0.0000  0.0000  1 Tc 2.83, 2 Pd 3.16
Er  0.0343  0.2758  0.5893  2 Pd 2.83-2.85, 1 Tc 3.10, 1 Er 3.16
Er  0.1567  0.5770  0.1808  1 Tc 2.82, 2 Pd 3.09-3.14
Er  0.2758  0.0343  0.5893  2 Pd 2.83-2.85, 1 Tc 3.10, 1 Er 3.16
Er  0.4471  0.6902  0.7874  2 Pd 2.83-2.89, 1 Tc 3.15
Er  0.5770  0.1567  0.1808  1 Tc 2.82, 2 Pd 3.09-3.14
Er  0.6902  0.4471  0.7874  2 Pd 2.83-2.89, 1 Tc 3.15
Er  0.7187  0.7187  0.3551  1 Tc 2.84, 2 Pd 3.11
Tc  0.3586  0.3586  0.0676  8 Er 2.82-3.15
Pd  0.0519  0.6599  0.6712  8 Er 2.83-3.16
Pd  0.6599  0.0519  0.6712  8 Er 2.83-3.16